Run 1
Material: LaY3Ho7
Method: DFT, PBE-GGA
State: optimized geometry Values from VASP.

- theoretical density (g/cm3) = 7.1
- space-group type = C2/m (12)

```
&SYSTEM
  ibrav = 0, nat = 11, ntyp = 3
/
ATOMIC_SPECIES
La 138.91 La.upf
Y 88.91 Y.upf
Ho 164.93 Ho.upf
CELL_PARAMETERS angstrom
6.308 -5.589 0.000
6.308 5.589 0.000
-2.664 0.000 5.157
ATOMIC_POSITIONS angstrom
La 0.000 0.000 0.000
Y 4.976 2.289 2.579
Y 6.308 0.000 0.000
Y 4.976 -2.289 2.579
Ho -1.332 0.000 2.579
Ho 1.549 2.153 4.072
Ho 2.904 0.000 1.507
Ho 1.549 -2.153 4.072
Ho 8.403 2.153 1.085
Ho 7.048 0.000 3.650
Ho 8.403 -2.153 1.085
```



Run 2
Material: LaY3Ho7
Method: DFT, PBE-GGA
State: optimized geometry Values from VASP.

- theoretical density (g/cm3) = 7.2
- space-group type = P2/m (10)

```
&SYSTEM
  ibrav = 0, nat = 11, ntyp = 3
/
ATOMIC_SPECIES
La 138.91 La.upf
Y 88.91 Y.upf
Ho 164.93 Ho.upf
CELL_PARAMETERS angstrom
6.977 0.000 0.000
0.000 5.561 0.000
-3.319 0.000 9.305
ATOMIC_POSITIONS angstrom
La 0.000 0.000 0.000
Y 0.279 2.781 4.621
Y 3.489 0.000 0.000
Y 3.379 2.781 4.684
Ho -1.660 0.000 4.652
Ho -1.604 2.781 7.359
Ho 1.806 2.781 1.336
Ho 1.858 0.000 3.090
Ho 1.800 0.000 6.215
Ho 1.852 2.781 7.969
Ho 5.262 2.781 1.946
```



Q: Which of them is the most stable? A: run 2.



Run 1
Material: LaY8Ho6
Method: DFT, PBE-GGA
State: optimized geometry Values from VASP.

- theoretical density (g/cm3) = 6.2
- space-group type = R-3 (148)

```
&SYSTEM
  ibrav = 0, nat = 15, ntyp = 3
/
ATOMIC_SPECIES
La 138.91 La.upf
Y 88.91 Y.upf
Ho 164.93 Ho.upf
CELL_PARAMETERS angstrom
4.518 2.609 6.917
-4.518 2.609 6.917
0.000 -5.217 6.917
ATOMIC_POSITIONS angstrom
La 0.000 0.000 0.000
Y -2.874 -1.507 10.900
Y -0.132 -3.242 9.850
Y -2.742 1.735 9.850
Y 0.000 0.000 8.774
Y 0.000 0.000 11.976
Y 2.742 -1.735 10.900
Y 0.132 3.242 10.900
Y 2.874 1.507 9.850
Ho -0.581 -1.909 6.065
Ho -1.362 1.458 6.065
Ho -1.943 -0.451 14.685
Ho 1.943 0.451 6.065
Ho 1.362 -1.458 14.685
Ho 0.581 1.909 14.685
```



Run 2
Material: LaY8Ho6
Method: DFT, PBE-GGA
State: optimized geometry Values from VASP.

- theoretical density (g/cm3) = 6.0
- space-group type = P-3 (147)

```
&SYSTEM
  ibrav = 0, nat = 15, ntyp = 3
/
ATOMIC_SPECIES
La 138.91 La.upf
Y 88.91 Y.upf
Ho 164.93 Ho.upf
CELL_PARAMETERS angstrom
9.466 0.000 0.000
-4.733 8.197 0.000
0.000 0.000 6.521
ATOMIC_POSITIONS angstrom
La 0.000 0.000 0.000
Y -1.351 2.785 3.882
Y -1.646 7.974 3.882
Y 0.000 5.465 2.138
Y 1.737 2.562 2.639
Y 2.996 5.635 3.882
Y 4.733 2.732 4.383
Y 6.378 0.223 2.639
Y 6.083 5.412 2.639
Ho -2.313 5.565 5.930
Ho 1.070 3.412 5.930
Ho 3.490 0.779 0.591
Ho 1.243 7.418 5.930
Ho 3.663 4.786 0.591
Ho 7.046 2.633 0.591
```



Q: Which of them is the most stable? A: run 1.



Run 1
Material: La5Y3Ho
Method: DFT, PBE-GGA
State: optimized geometry Values from VASP.

- theoretical density (g/cm3) = 5.8
- space-group type = I4/mcm (140)

```
&SYSTEM
  ibrav = 0, nat = 18, ntyp = 3
/
ATOMIC_SPECIES
La 138.91 La.upf
Y 88.91 Y.upf
Ho 164.93 Ho.upf
CELL_PARAMETERS angstrom
-4.769 4.769 7.115
4.769 -4.769 7.115
4.769 4.769 -7.115
ATOMIC_POSITIONS angstrom
La 0.000 0.000 0.000
La 6.684 1.915 -1.946
La 1.915 2.855 -1.946
La 6.684 1.915 1.946
La 1.915 2.855 1.946
La 0.000 0.000 7.115
La 2.855 1.915 5.169
La -1.915 2.855 5.169
La 2.855 1.915 9.060
La -1.915 2.855 9.060
Y 3.733 1.036 0.000
Y 0.000 0.000 3.557
Y 3.733 -1.036 7.115
Y 1.036 5.806 0.000
Y 0.000 0.000 10.672
Y 1.036 3.733 7.115
Ho 4.769 0.000 3.557
Ho 0.000 4.769 3.557
```



Run 2
Material: La5Y3Ho
Method: DFT, PBE-GGA
State: optimized geometry Values from VASP.

- theoretical density (g/cm3) = 5.7
- space-group type = C2/c (15)

```
&SYSTEM
  ibrav = 0, nat = 18, ntyp = 3
/
ATOMIC_SPECIES
La 138.91 La.upf
Y 88.91 Y.upf
Ho 164.93 Ho.upf
CELL_PARAMETERS angstrom
9.546 -3.273 0.000
9.546 3.273 0.000
-4.994 0.000 10.478
ATOMIC_POSITIONS angstrom
La 4.931 1.949 3.030
La 5.801 2.654 7.858
La 3.049 1.203 6.697
La 11.665 1.949 2.208
La 8.553 1.203 9.020
La 5.546 -1.203 1.458
La 2.434 -1.949 8.269
La 11.050 -1.203 3.781
La 8.298 -2.654 2.619
La 9.168 -1.949 7.447
Y 1.586 1.866 10.321
Y 10.016 1.866 5.396
Y 9.546 0.000 0.000
Y 7.049 0.000 5.239
Y 4.083 -1.866 5.082
Y 12.513 -1.866 0.157
Ho 8.298 0.808 2.619
Ho 5.801 -0.808 7.858
```



Q: Which of them is the most stable? A: run 2.



Run 1
Material: LaY2Ho2
Method: DFT, PBE-GGA
State: optimized geometry Values from VASP.

- theoretical density (g/cm3) = 6.4
- space-group type = P4/mbm (127)

```
&SYSTEM
  ibrav = 0, nat = 10, ntyp = 3
/
ATOMIC_SPECIES
La 138.91 La.upf
Y 88.91 Y.upf
Ho 164.93 Ho.upf
CELL_PARAMETERS angstrom
9.482 0.000 0.000
0.000 9.482 0.000
0.000 0.000 3.745
ATOMIC_POSITIONS angstrom
La 0.000 0.000 0.000
La 4.741 4.741 0.000
Y 1.633 3.108 1.873
Y 3.108 7.849 1.873
Y 6.374 1.633 1.873
Y 7.849 6.374 1.873
Ho 1.172 5.913 0.000
Ho 3.569 1.172 0.000
Ho 5.913 8.311 0.000
Ho 8.311 3.569 0.000
```



Run 2
Material: LaY2Ho2
Method: DFT, PBE-GGA
State: optimized geometry Values from VASP.

- theoretical density (g/cm3) = 5.8
- space-group type = Fddd (70)

```
&SYSTEM
  ibrav = 0, nat = 10, ntyp = 3
/
ATOMIC_SPECIES
La 138.91 La.upf
Y 88.91 Y.upf
Ho 164.93 Ho.upf
CELL_PARAMETERS angstrom
0.000 5.842 11.391
2.790 0.000 11.391
2.790 5.842 0.000
ATOMIC_POSITIONS angstrom
La 0.698 1.460 2.848
La 4.883 10.223 19.934
Y 2.093 2.388 8.543
Y 3.488 5.309 14.239
Y 2.093 6.374 8.543
Y 3.488 9.295 14.239
Ho 0.000 0.000 0.000
Ho 1.395 2.921 0.000
Ho 1.395 0.000 5.695
Ho 0.000 2.921 5.695
```



Q: Which of them is the most stable? A: run 1.



Run 1
Material: La4Y2Ho
Method: DFT, PBE-GGA
State: optimized geometry Values from VASP.

- theoretical density (g/cm3) = 6.1
- space-group type = Fdd2 (43)

```
&SYSTEM
  ibrav = 0, nat = 14, ntyp = 3
/
ATOMIC_SPECIES
La 138.91 La.upf
Y 88.91 Y.upf
Ho 164.93 Ho.upf
CELL_PARAMETERS angstrom
0.000 12.359 3.278
6.067 0.000 3.278
6.067 12.359 0.000
ATOMIC_POSITIONS angstrom
La 2.179 2.635 1.431
La 5.212 3.544 3.070
La 3.889 9.723 1.431
La 6.636 10.594 3.278
La 5.498 14.123 3.278
La 8.531 16.774 4.918
La 6.922 21.173 3.070
La 9.670 20.302 4.918
Y 6.332 6.990 2.948
Y 8.836 13.169 4.588
Y 5.802 17.727 2.948
Y 3.299 11.548 4.588
Ho 6.067 12.359 0.008
Ho 3.034 6.179 1.647
```



Run 2
Material: La4Y2Ho
Method: DFT, PBE-GGA
State: optimized geometry Values from VASP.

- theoretical density (g/cm3) = 6.0
- space-group type = Imma (74)

```
&SYSTEM
  ibrav = 0, nat = 14, ntyp = 3
/
ATOMIC_SPECIES
La 138.91 La.upf
Y 88.91 Y.upf
Ho 164.93 Ho.upf
CELL_PARAMETERS angstrom
-3.492 5.791 6.124
3.492 -5.791 6.124
3.492 5.791 -6.124
ATOMIC_POSITIONS angstrom
La 0.000 0.021 1.849
La 1.512 2.895 -0.075
La 1.980 -2.895 6.050
La 3.492 0.021 4.276
La 0.000 5.770 1.849
La 1.512 8.686 0.075
La 1.980 2.895 6.199
La 3.492 5.770 4.276
Y 3.492 0.000 0.000
Y 3.492 2.895 -2.623
Y 0.000 0.000 6.124
Y 0.000 2.895 8.748
Ho -1.746 2.895 3.062
Ho 1.746 2.895 3.062
```



Q: Which of them is the most stable? A: run 1.



Run 1
Material: La2Y3Ho4
Method: DFT, PBE-GGA
State: optimized geometry Values from VASP.

- theoretical density (g/cm3) = 6.8
- space-group type = C2/m (12)

```
&SYSTEM
  ibrav = 0, nat = 9, ntyp = 3
/
ATOMIC_SPECIES
La 138.91 La.upf
Y 88.91 Y.upf
Ho 164.93 Ho.upf
CELL_PARAMETERS angstrom
7.620 -2.546 0.000
7.620 2.546 0.000
-2.540 0.000 7.617
ATOMIC_POSITIONS angstrom
La 2.526 0.000 0.008
La 10.174 0.000 7.609
Y 5.087 0.000 2.569
Y 7.620 0.000 0.000
Y 7.613 0.000 5.049
Ho 0.007 0.000 2.581
Ho 2.552 0.000 5.040
Ho 10.147 0.000 2.578
Ho 12.692 0.000 5.036
```



Run 2
Material: La2Y3Ho4
Method: DFT, PBE-GGA
State: optimized geometry Values from VASP.

- theoretical density (g/cm3) = 6.8
- space-group type = C2/c (15)

```
&SYSTEM
  ibrav = 0, nat = 18, ntyp = 3
/
ATOMIC_SPECIES
La 138.91 La.upf
Y 88.91 Y.upf
Ho 164.93 Ho.upf
CELL_PARAMETERS angstrom
8.389 -5.855 0.000
8.389 5.855 0.000
-0.753 0.000 6.001
ATOMIC_POSITIONS angstrom
La 6.044 4.474 4.336
La 9.606 4.474 4.666
La 6.420 -4.474 1.336
La 9.982 -4.474 1.665
Y 8.201 4.109 1.500
Y 5.349 1.735 2.458
Y 4.973 -1.735 5.458
Y 11.053 1.735 0.543
Y 10.677 -1.735 3.543
Y 7.825 -4.109 4.501
Ho 3.277 1.300 5.193
Ho 6.658 1.251 5.744
Ho 3.653 -1.300 2.192
Ho 8.991 1.251 3.258
Ho 7.035 -1.251 2.743
Ho 12.372 1.300 3.809
Ho 9.368 -1.251 0.257
Ho 12.749 -1.300 0.808
```



Q: Which of them is the most stable? A: run 1.